[1]
This record from Alexandria via LeMat-Bulk describes a relaxed structure of LaFe2Br. The functional is GGA-PBE.

The structure in CIF format:
```
data_LaFe2Br
_cell_length_a 3.5498
_cell_length_b 4.5784
_cell_length_c 5.1728
_cell_angle_alpha 90.00
_cell_angle_beta 90.00
_cell_angle_gamma 90.00
_space_group_name_H-M_alt 'P m m m'
_space_group_IT_number 47
_space_group_name_Hall '-P 2 2'
loop_
_atom_site_label
_atom_site_fract_x
_atom_site_fract_y
_atom_site_fract_z
_atom_site_occupancy
La1 0.0000 0.0000 0.0000 1
Fe1 0.0000 0.5000 0.5000 1
Fe2 0.5000 0.0000 0.5000 1
Br1 0.5000 0.5000 0.0000 1
```

## Properties
Energy above the most stable polymorph in this dataset in eV/f.u.: 1.601
Formation energy without anion corrections in meV/atom: 290
Final energy in eV/atom: -5.591

[2]
This record from Alexandria via LeMat-Bulk describes a relaxed structure of Mg2BeRh3. The functional is GGA-PBE.

The structure in CIF format:
```
data_Mg2BeRh3
_cell_length_a 4.2385
_cell_length_b 12.6393
_cell_length_c 6.1581
_cell_angle_alpha 90.00
_cell_angle_beta 90.00
_cell_angle_gamma 90.00
_space_group_name_H-M_alt 'C m m m'
_space_group_IT_number 65
_space_group_name_Hall '-C 2 2'
loop_
_atom_site_label
_atom_site_fract_x
_atom_site_fract_y
_atom_site_fract_z
_atom_site_occupancy
Mg1 0.0000 0.0000 0.0000 1
Mg2 0.0000 0.0000 0.5000 1
Mg3 0.0000 0.3351 0.0000 1
Be1 0.0000 0.3414 0.5000 1
Rh1 0.0000 0.1760 0.2795 1
Rh2 0.0000 0.5000 0.2657 1
```

## Properties
Final energy in eV/atom: -5.279
E_form in kJ per mole of atoms: -43.5

[3]
This record from Alexandria via LeMat-Bulk describes a relaxed structure of Li2Ce2As3. The functional is GGA-PBE.

The structure in CIF format:
```
data_Li2Ce2As3
_cell_length_a 15.0997
_cell_length_b 4.1722
_cell_length_c 11.9496
_cell_angle_alpha 90.00
_cell_angle_beta 123.88
_cell_angle_gamma 90.00
_space_group_name_H-M_alt 'C 1 2/m 1'
_space_group_IT_number 12
_space_group_name_Hall '-C 2y'
loop_
_atom_site_label
_atom_site_fract_x
_atom_site_fract_y
_atom_site_fract_z
_atom_site_occupancy
Li1 0.0443 0.0000 0.3316 1
Li2 0.0810 0.5000 0.6537 1
Ce1 0.1023 0.5000 0.9513 1
Ce2 0.2344 0.5000 0.3342 1
As1 0.0877 0.0000 0.1485 1
As2 0.1276 0.5000 0.4764 1
As3 0.1642 0.0000 0.8247 1
```

## Properties
Final energy in eV/atom: -5.281
E_form in kJ per mole of atoms: -100.9

Values of size of the total moment, in order: 5.084 0.000 4.137, all in μB/cell.